# meta-GGA SCAN Zr2WCl, PBEsol geometry
data_Zr2WCl
_chemical_formula_sum 'Zr4 W2 Cl2'
_cell_length_a 5.570
_cell_length_b 3.000
_cell_length_c 9.260
_cell_angle_alpha 90.00
_cell_angle_beta 96.39
_cell_angle_gamma 90.00
_symmetry_space_group_name_H-M 'C 1 m 1'
_symmetry_Int_Tables_number 8
loop_
_symmetry_equiv_pos_as_xyz
'x,y,z'
'x,-y,z'
'x+1/2,y+1/2,z'
'x+1/2,-y+1/2,z'
loop_
_atom_site_label
_atom_site_type_symbol
_atom_site_fract_x
_atom_site_fract_y
_atom_site_fract_z
Zr1 Zr 0.000 0.000 0.000
Zr2 Zr 0.212 0.500 0.714
W1 W 0.405 0.000 0.479
Cl1 Cl 0.362 0.000 0.202
# - E (eV/atom) = -34.747
# - ΔE_f (raw) (eV/atom) = 0.019
# - ΔE to the lowest computed polymorph (meV per atom) = 564
# - size of the total moment (Bohr magnetons per cell) = 0.00